[1]
Tm3Ga2Pt: relaxed, PBE.

a b c (Å): 11.570 4.372 10.867
angles (deg): 90.00 90.00 90.00
Positions (direct):
Tm 0.048 0.250 0.128
Tm 0.121 0.750 0.565
Tm 0.223 0.250 0.811
Tm 0.277 0.750 0.311
Tm 0.379 0.250 0.065
Tm 0.452 0.750 0.628
Tm 0.548 0.250 0.372
Tm 0.621 0.750 0.935
Tm 0.723 0.250 0.689
Tm 0.777 0.750 0.189
Tm 0.879 0.250 0.435
Tm 0.952 0.750 0.872
Ga 0.012 0.750 0.306
Ga 0.186 0.750 0.017
Ga 0.314 0.250 0.517
Ga 0.488 0.250 0.806
Ga 0.512 0.750 0.194
Ga 0.686 0.750 0.483
Ga 0.814 0.250 0.983
Ga 0.988 0.250 0.694
Pt 0.124 0.250 0.382
Pt 0.376 0.750 0.882
Pt 0.624 0.250 0.118
Pt 0.876 0.750 0.618

## Properties
volume: 22.90 Å³ per atom
formation energy from the elements: -800 meV/atom
total magnetization: 0.0 μB/f.u.

---

[2]
MgHPd3: relaxed, PBE.

a b c (Å): 5.719 5.719 3.974
angles (deg): 90.00 90.00 91.83
Positions (direct):
Mg 0.236 0.764 0.000
Mg 0.764 0.236 0.000
H 0.241 0.241 0.500
H 0.515 0.515 0.004
Pd 0.255 0.255 0.000
Pd 0.502 0.502 0.500
Pd 0.502 0.998 0.500
Pd 0.747 0.747 0.000
Pd 0.997 0.997 0.500
Pd 0.998 0.502 0.500

## Properties
volume: 12.99 Å³ per atom
total magnetization: 0.0 μB/f.u.
excess energy over the best structure of this formula in the dataset: 32.8 meV per atom

---

[3]
HfCu5Au6: relaxed, PBE.

a b c (Å): 7.606 7.606 4.367
angles (deg): 106.57 106.57 116.45
Positions (direct):
Hf 0.000 0.000 0.000
Cu 0.156 0.844 0.500
Cu 0.329 0.671 0.000
Cu 0.500 0.500 0.500
Cu 0.671 0.329 0.000
Cu 0.844 0.156 0.500
Au 0.087 0.429 0.258
Au 0.270 0.270 0.771
Au 0.429 0.087 0.258
Au 0.571 0.913 0.742
Au 0.730 0.730 0.229
Au 0.913 0.571 0.742

## Properties
volume: 15.85 Å³ per atom
formation energy from the elements: -146 meV/atom
total magnetization: 0.0 μB/f.u.

---

[4]
SrTcRu2: relaxed, PBE.

a b c (Å): 4.936 4.936 5.706
angles (deg): 103.16 103.16 36.31
Positions (direct):
Sr 0.000 0.000 0.000
Tc 0.212 0.212 0.639
Ru 0.499 0.499 0.500
Ru 0.777 0.777 0.333

## Properties
volume: 19.98 Å³ per atom
formation energy from the elements: 607 meV/atom
total magnetization: 0.0 μB/f.u.
excess energy over the best structure of this formula in the dataset: 129.7 meV per atom

---

total magnetization of number 2 (MgHPd3)?
0.0 μB/f.u.

---

Copy entry 2 word for word.
MgHPd3: relaxed, PBE.

a b c (Å): 5.719 5.719 3.974
angles (deg): 90.00 90.00 91.83
Positions (direct):
Mg 0.236 0.764 0.000
Mg 0.764 0.236 0.000
H 0.241 0.241 0.500
H 0.515 0.515 0.004
Pd 0.255 0.255 0.000
Pd 0.502 0.502 0.500
Pd 0.502 0.998 0.500
Pd 0.747 0.747 0.000
Pd 0.997 0.997 0.500
Pd 0.998 0.502 0.500

## Properties
volume: 12.99 Å³ per atom
total magnetization: 0.0 μB/f.u.
excess energy over the best structure of this formula in the dataset: 32.8 meV per atom

---

Copy entry 2 word for word.
MgHPd3: relaxed, PBE.

a b c (Å): 5.719 5.719 3.974
angles (deg): 90.00 90.00 91.83
Positions (direct):
Mg 0.236 0.764 0.000
Mg 0.764 0.236 0.000
H 0.241 0.241 0.500
H 0.515 0.515 0.004
Pd 0.255 0.255 0.000
Pd 0.502 0.502 0.500
Pd 0.502 0.998 0.500
Pd 0.747 0.747 0.000
Pd 0.997 0.997 0.500
Pd 0.998 0.502 0.500

## Properties
volume: 12.99 Å³ per atom
total magnetization: 0.0 μB/f.u.
excess energy over the best structure of this formula in the dataset: 32.8 meV per atom

---

volume of number 4 (SrTcRu2)?
19.98 Å³ per atom